1.
# KHf2Sb2, relaxed, DFT GGA-PBE
# excess energy over the best structure of this formula in the dataset = 0.00 eV/f.u.
# formation energy from raw total energies = -7.145 kcal/mol of atoms
# density of states at the Fermi level = 8.1 states/eV per cell
data_KHf2Sb2
_chemical_formula_sum 'K2 Hf4 Sb4'
_cell_length_a 4.6207
_cell_length_b 4.6207
_cell_length_c 14.7161
_cell_angle_alpha 90.00
_cell_angle_beta 90.00
_cell_angle_gamma 90.00
_space_group_name_H-M_alt 'I 4/m m m'
_space_group_IT_number 139
_space_group_name_Hall '-I 4 2'
loop_
_atom_site_label
_atom_site_fract_x
_atom_site_fract_y
_atom_site_fract_z
_atom_site_occupancy
K1 0.0000 0.0000 0.0000 1
Hf1 0.0000 0.5000 0.2500 1
Sb1 0.0000 0.0000 0.3672 1

2.
# ThAgAu2, relaxed, DFT GGA-PBE
# energy of formation from the pure elements = -403 meV/atom
# excess energy over the best structure of this formula in the dataset = 0.45 eV/f.u.
# density of states at the Fermi level = 2.3 states/eV per cell
data_ThAgAu2
_chemical_formula_sum 'Th1 Ag1 Au2'
_cell_length_a 3.5496
_cell_length_b 3.5496
_cell_length_c 6.9149
_cell_angle_alpha 90.00
_cell_angle_beta 90.00
_cell_angle_gamma 90.00
_space_group_name_H-M_alt 'P 4/m m m'
_space_group_IT_number 123
_space_group_name_Hall '-P 4 2'
loop_
_atom_site_label
_atom_site_fract_x
_atom_site_fract_y
_atom_site_fract_z
_atom_site_occupancy
Th1 0.0000 0.0000 0.0000 1
Ag1 0.0000 0.0000 0.5000 1
Au1 0.5000 0.5000 0.2814 1

3.
# YTm4Tl, relaxed, DFT GGA-PBE
# energy of formation from the pure elements = -99 meV/atom
# excess energy over the best structure of this formula in the dataset = 0.00 eV/f.u.
# density of states at the Fermi level = 6.2 states/eV per cell
data_YTm4Tl
_chemical_formula_sum 'Y1 Tm4 Tl1'
_cell_length_a 3.5478
_cell_length_b 3.5478
_cell_length_c 14.0427
_cell_angle_alpha 90.00
_cell_angle_beta 90.00
_cell_angle_gamma 90.00
_space_group_name_H-M_alt 'P 4/m m m'
_space_group_IT_number 123
_space_group_name_Hall '-P 4 2'
loop_
_atom_site_label
_atom_site_fract_x
_atom_site_fract_y
_atom_site_fract_z
_atom_site_occupancy
Y1 0.0000 0.0000 0.0000 1
Tm1 0.0000 0.0000 0.3498 1
Tm2 0.5000 0.5000 0.1776 1
Tl1 0.5000 0.5000 0.5000 1

4.
# ZnSe2O10, relaxed, DFT GGA-PBE
# formation energy from raw total energies = -8.356 kcal/mol of atoms
# density of states at the Fermi level = 17.1 states/eV per cell
data_ZnSe2O10
_chemical_formula_sum 'Zn4 Se8 O40'
_cell_length_a 12.0382
_cell_length_b 10.9774
_cell_length_c 7.4710
_cell_angle_alpha 90.00
_cell_angle_beta 118.59
_cell_angle_gamma 90.00
_space_group_name_H-M_alt 'C 1 2/c 1'
_space_group_IT_number 15
loop_
_space_group_symop_operation_xyz
'x,y,z'
'-x,-y,-z'
'-x,y,-z+1/2'
'x,-y,z+1/2'
'x+1/2,y+1/2,z'
'-x+1/2,-y+1/2,-z'
'-x+1/2,y+1/2,-z+1/2'
'x+1/2,-y+1/2,z+1/2'
loop_
_atom_site_label
_atom_site_fract_x
_atom_site_fract_y
_atom_site_fract_z
_atom_site_occupancy
Zn1 0.0000 0.0817 0.2500 1
Se1 0.1875 0.1381 0.7244 1
O1 0.0000 0.2864 0.7500 1
O2 0.0000 0.4126 0.2500 1
O3 0.0950 0.1921 0.4868 1
O4 0.1041 0.4742 0.3172 1
O5 0.1062 0.2123 0.8731 1
O6 0.1420 0.0076 0.2266 1

5.
# NaZr2O, relaxed, DFT GGA-PBE
# formation energy from raw total energies = -19.185 kcal/mol of atoms
# density of states at the Fermi level = 10.0 states/eV per cell
data_NaZr2O
_chemical_formula_sum 'Na3 Zr6 O3'
_cell_length_a 3.3761
_cell_length_b 3.3761
_cell_length_c 26.2624
_cell_angle_alpha 90.00
_cell_angle_beta 90.00
_cell_angle_gamma 120.00
_space_group_name_H-M_alt 'R -3 m'
_space_group_IT_number 166
_space_group_name_Hall '-R 3 2"'
loop_
_atom_site_label
_atom_site_fract_x
_atom_site_fract_y
_atom_site_fract_z
_atom_site_occupancy
Na1 0.0000 0.0000 0.0000 1
Zr1 0.0000 0.0000 0.1226 1
O1 0.0000 0.0000 0.5000 1

6.
# In3Ga8Hg, relaxed, DFT GGA-PBE
# energy of formation from the pure elements = 47 meV/atom
# density of states at the Fermi level = 5.2 states/eV per cell
data_In3Ga8Hg
_chemical_formula_sum 'In3 Ga8 Hg1'
_cell_length_a 5.9236
_cell_length_b 5.9236
_cell_length_c 8.6385
_cell_angle_alpha 90.00
_cell_angle_beta 90.00
_cell_angle_gamma 120.00
_space_group_name_H-M_alt 'P 3 m 1'
_space_group_IT_number 156
loop_
_space_group_symop_operation_xyz
'x,y,z'
'-y,x-y,z'
'-x+y,-x,z'
'-y,-x,z'
'-x+y,y,z'
'x,x-y,z'
loop_
_atom_site_label
_atom_site_fract_x
_atom_site_fract_y
_atom_site_fract_z
_atom_site_occupancy
In1 0.0000 0.0000 0.0000 1
In2 0.0000 0.0000 0.3677 1
In3 0.3333 0.6667 0.8607 1
Ga1 0.0098 0.5049 0.1842 1
Ga2 0.3251 0.1626 0.6827 1
Ga3 0.6667 0.3333 0.4330 1
Ga4 0.6667 0.3333 0.9339 1
Hg1 0.3333 0.6667 0.5007 1

7.
# LiAl4Ag, relaxed, DFT GGA-PBE
# energy of formation from the pure elements = -56 meV/atom
# excess energy over the best structure of this formula in the dataset = 0.00 eV/f.u.
# density of states at the Fermi level = 4.0 states/eV per cell
data_LiAl4Ag
_chemical_formula_sum 'Li2 Al8 Ag2'
_cell_length_a 4.8906
_cell_length_b 8.5536
_cell_length_c 5.0477
_cell_angle_alpha 90.00
_cell_angle_beta 109.48
_cell_angle_gamma 90.00
_space_group_name_H-M_alt 'C 1 2/m 1'
_space_group_IT_number 12
loop_
_space_group_symop_operation_xyz
'x,y,z'
'-x,-y,-z'
'-x,y,-z'
'x,-y,z'
'x+1/2,y+1/2,z'
'-x+1/2,-y+1/2,-z'
'-x+1/2,y+1/2,-z'
'x+1/2,-y+1/2,z'
loop_
_atom_site_label
_atom_site_fract_x
_atom_site_fract_y
_atom_site_fract_z
_atom_site_occupancy
Li1 0.0000 0.0000 0.0000 1
Al1 0.0000 0.1674 0.5000 1
Al2 0.0000 0.3307 0.0000 1
Ag1 0.0000 0.5000 0.5000 1

8.
# ZnCd2Te, relaxed, DFT GGA-PBE
# excess energy over the best structure of this formula in the dataset = 0.40 eV/f.u.
# formation energy from raw total energies = 1.787 kcal/mol of atoms
# density of states at the Fermi level = 1.7 states/eV per cell
data_ZnCd2Te
_chemical_formula_sum 'Zn2 Cd4 Te2'
_cell_length_a 5.7479
_cell_length_b 8.4458
_cell_length_c 4.0392
_cell_angle_alpha 90.00
_cell_angle_beta 90.00
_cell_angle_gamma 90.00
_space_group_name_H-M_alt 'C m m m'
_space_group_IT_number 65
_space_group_name_Hall '-C 2 2'
loop_
_atom_site_label
_atom_site_fract_x
_atom_site_fract_y
_atom_site_fract_z
_atom_site_occupancy
Zn1 0.0000 0.0000 0.0000 1
Cd1 0.2500 0.2500 0.5000 1
Te1 0.0000 0.5000 0.0000 1

no.,total magnetization (μB/cell)
1,0.0
2,0.0
3,0.0
4,0.2
5,0.0
6,0.0
7,0.0
8,0.0